# TbPmCdSn | Alexandria | PBE-GGA | relaxed
# total magnetization = 0.000 μB per atom
# crystal system = cubic
# VASP energy = -4.10 eV per atom
# formation energy = -0.52 eV/atom
data_TbPmCdSn
_chemical_formula_sum 'Tb4 Pm4 Cd4 Sn4'
_cell_length_a 7.574
_cell_length_b 7.574
_cell_length_c 7.574
_cell_angle_alpha 90.00
_cell_angle_beta 90.00
_cell_angle_gamma 90.00
_space_group_name_H-M_alt 'F -4 3 m'
_space_group_IT_number 216
_space_group_name_Hall 'F -4 2 3'
loop_
_atom_site_label
_atom_site_type_symbol
_atom_site_fract_x
_atom_site_fract_y
_atom_site_fract_z
_atom_site_occupancy
Tb1 Tb 0.000 0.000 0.000 1
Pm1 Pm 0.000 0.000 0.500 1
Cd1 Cd 0.250 0.250 0.750 1
Sn1 Sn 0.250 0.250 0.250 1